Here is a geometry-optimized NdSmDy2 structure from the Alexandria database. Energies are from PBE.

Values from the calculation:
**E_form**: 0.126 eV per atom
**Volume**: 133 Å³ per cell
**M_tot**: 0.00 μB/atom
**Relative energy among the computed polymorphs**: 130 meV per atom
**Crystal system**: cubic
**Raw total energy**: -4.55 eV/atom

a b c (Å): 5.727 5.727 5.727
angles (deg): 60.00 60.00 60.00
Fractional coordinates of all 4 atoms:
Nd 0.000 0.000 0.000
Sm 0.500 0.500 0.500
Dy 0.250 0.250 0.250
Dy 0.750 0.750 0.750